## Cr2TcAu2 (PBE-GGA)

Data for a relaxed Cr2TcAu2 crystal.

* space-group type: I4/mmm (139)
* crystal system: tetragonal
* DOS at the Fermi energy: 0.59 states/eV/atom
* V: 81.2 Å³/cell
* ΔH_f (0 K): 639 meV/atom
* electronic total energy: -6.594 eV/atom
* polymorph energy (0 for the lowest one): 156 meV/atom

Lattice parameters (Å, degrees): 6.291 6.291 6.291 145.07 145.07 50.22
Positions (direct):
Cr 0.082 0.082 0.000
Cr 0.918 0.918 0.000
Tc 0.500 0.500 0.000
Au 0.250 0.750 0.500
Au 0.750 0.250 0.500